VASP calculation (PBE-GGA) on crystalline Sr2TiPbS at its relaxed geometry.

As for the crystal system: tetragonal. As for the density of states at the Fermi level: 2.63 states/eV/cell.

Cell: 5.754 5.754 4.700 Å, 90.00 90.00 90.00°
Atoms (fractional coordinates):
Sr: 0.000 0.500 0.000
Sr: 0.500 0.000 0.000
Ti: 0.000 0.000 0.500
Pb: 0.500 0.500 0.500
S: 0.000 0.000 0.000

***

VASP calculation (PBE-GGA) on crystalline Sr2TmPbS4 at its relaxed geometry.

As for the crystal system: monoclinic. As for the density of states at the Fermi level: 3.05 states/eV/cell.

Cell: 7.177 4.129 7.267 Å, 90.00 109.28 90.00°
Atoms (fractional coordinates):
Sr: 0.000 0.000 0.000
Sr: 0.000 0.500 0.500
Tm: 0.500 0.000 0.500
Pb: 0.500 0.500 0.000
S: 0.263 0.000 0.736
S: 0.271 0.500 0.271
S: 0.729 0.500 0.729
S: 0.737 0.000 0.264

***

VASP calculation (PBE-GGA) on crystalline SrUPb2S6 at its relaxed geometry.

As for the crystal system: trigonal.

Cell: 7.548 7.548 7.548 Å, 57.56 57.56 57.56°
Atoms (fractional coordinates):
Sr: 0.000 0.000 0.000
U: 0.490 0.490 0.490
Pb: 0.289 0.289 0.289
Pb: 0.798 0.798 0.798
S: 0.131 0.685 0.398
S: 0.246 0.608 0.837
S: 0.398 0.131 0.685
S: 0.608 0.837 0.246
S: 0.685 0.398 0.131
S: 0.837 0.246 0.608

***

VASP calculation (PBE-GGA) on crystalline Sr2UPbS6 at its relaxed geometry.

As for the crystal system: trigonal.

Cell: 7.529 7.529 7.529 Å, 57.75 57.75 57.75°
Atoms (fractional coordinates):
Sr: 0.000 0.000 0.000
Sr: 0.489 0.489 0.489
U: 0.791 0.791 0.791
Pb: 0.281 0.281 0.281
S: 0.036 0.449 0.666
S: 0.140 0.902 0.585
S: 0.449 0.666 0.036
S: 0.585 0.140 0.902
S: 0.666 0.036 0.449
S: 0.902 0.585 0.140

***

Which V belongs to each record? In order, 31.1 25.4 28.7 28.6 Å³ per atom.
Which E_tot belongs to each record? In order, -22.5 -41.0 -56.0 -57.2 eV/f.u..
Which energy relative to the elements, uncorrected belongs to each record? In order, -0.6816 -1.6179 -1.0801 -1.4037 eV per atom.